A relaxed structure of SrTaS2, computed with PBE.

abc: 7.6133 7.6133 7.6133
angles: 134.73 134.73 65.95
Last column: nearest neighbours and their distance in Å.
Positions (direct):
Sr (0.0000, 0.0000, 0.0000)  4 S 2.92
Sr (0.7500, 0.2500, 0.5000)  4 S 2.92
Ta (0.2500, 0.7500, 0.5000)  4 S 2.37
Ta (0.5000, 0.5000, 0.0000)  4 S 2.37
S (0.2098, 0.6250, 0.0848)  2 Ta 2.37
S (0.3750, 0.4598, 0.5848)  2 Ta 2.37
S (0.5402, 0.1250, 0.9152)  2 Ta 2.37
S (0.8750, 0.7902, 0.4152)  2 Ta 2.37

Summary:
Calculated density in g/cm3: 5.0
Distance to the lowest polymorph of the same formula in kJ/mol of atoms: 0.0
Electronic total energy in Ry per atom: -0.460
DOS at the Fermi energy in states/eV per atom: 0.920



A relaxed structure of Er3Si6Pd2Pt, computed with PBE.

abc: 5.3619 5.3619 8.7311
angles: 90.00 90.00 120.00
Last column: nearest neighbours and their distance in Å.
Positions (direct):
Er (0.0000, 0.0000, 0.0000)  6 Si 2.92, 6 Pd 3.12
Er (0.3333, 0.6667, 0.5810)  9 Si 2.95-3.03, 3 Pt 3.18
Er (0.6667, 0.3333, 0.4190)  9 Si 2.95-3.03, 3 Pt 3.18
Si (0.1762, 0.3524, 0.2772)  1 Pd 2.51, 2 Si 2.53, 1 Pt 2.54
Si (0.1762, 0.8238, 0.2772)  1 Pd 2.51, 2 Si 2.53, 1 Pt 2.54
Si (0.3524, 0.1762, 0.7228)  1 Pd 2.51, 2 Si 2.53, 1 Pt 2.54
Si (0.6476, 0.8238, 0.2772)  1 Pd 2.51, 2 Si 2.53, 1 Pt 2.54
Si (0.8238, 0.1762, 0.7228)  1 Pd 2.51, 2 Si 2.53, 1 Pt 2.54
Si (0.8238, 0.6476, 0.7228)  1 Pd 2.51, 2 Si 2.53, 1 Pt 2.54
Pd (0.3333, 0.6667, 0.0437)  3 Si 2.51
Pd (0.6667, 0.3333, 0.9563)  3 Si 2.51
Pt (0.0000, 0.0000, 0.5000)  6 Si 2.54

Summary:
Calculated density in g/cm3: 8.2
Electronic total energy in Ry per atom: -0.423
DOS at the Fermi energy in states/eV per atom: 0.291



A relaxed structure of KZn2CdF8, computed with PBE.

abc: 5.1842 5.2067 7.2165
angles: 83.12 83.35 82.94
Last column: nearest neighbours and their distance in Å.
Positions (direct):
K (0.0000, 0.0000, 0.0000)  6 F 2.57-2.64
Zn (0.4699, 0.4679, 0.2248)  5 F 1.94-2.08
Zn (0.5301, 0.5321, 0.7752)  5 F 1.94-2.08
Cd (0.0000, 0.0000, 0.5000)  6 F 2.18-2.25
F (0.2082, 0.7464, 0.7247)  1 Zn 1.94
F (0.2328, 0.7726, 0.2807)  1 Zn 1.94
F (0.2946, 0.2724, 0.4392)  1 Zn 1.94
F (0.3496, 0.3286, 0.9950)  2 Zn 2.00-2.08
F (0.6504, 0.6714, 0.0050)  2 Zn 2.00-2.08
F (0.7054, 0.7276, 0.5608)  1 Zn 1.94
F (0.7672, 0.2274, 0.7193)  1 Zn 1.94
F (0.7918, 0.2536, 0.2753)  1 Zn 1.94

Summary:
Calculated density in g/cm3: 3.8
Electronic total energy in Ry per atom: -0.278
DOS at the Fermi energy in states/eV per atom: 0.539



A relaxed structure of PrEr2Bi3, computed with PBE.

abc: 7.8227 7.8227 7.8113
angles: 99.62 99.62 120.02
Last column: nearest neighbours and their distance in Å.
Positions (direct):
Pr (0.1654, 0.8346, 0.0000)  6 Bi 3.25-3.26
Pr (0.8346, 0.1654, 0.0000)  6 Bi 3.25-3.26
Er (0.0000, 0.0000, 0.5000)  6 Bi 3.14-3.20
Er (0.3296, 0.6704, 0.5000)  6 Bi 3.14-3.17
Er (0.5000, 0.5000, 0.0000)  6 Bi 3.18-3.19
Er (0.6704, 0.3296, 0.5000)  6 Bi 3.14-3.17
Bi (0.0885, 0.4147, 0.7426)  4 Er 3.14-3.18, 2 Pr 3.25-3.26
Bi (0.2618, 0.2618, 0.2611)  4 Er 3.16-3.20, 2 Pr 3.25
Bi (0.4147, 0.0885, 0.7426)  4 Er 3.14-3.18, 2 Pr 3.25-3.26
Bi (0.5853, 0.9115, 0.2574)  4 Er 3.14-3.18, 2 Pr 3.25-3.26
Bi (0.7382, 0.7382, 0.7389)  4 Er 3.16-3.20, 2 Pr 3.25
Bi (0.9115, 0.5853, 0.2574)  4 Er 3.14-3.18, 2 Pr 3.25-3.26

Summary:
Calculated density in g/cm3: 9.4
Formation energy from the elements in eV/atom: -0.854
Electronic total energy in Ry per atom: -0.376
DOS at the Fermi energy in states/eV per atom: 0.186



A relaxed structure of TlSeF, computed with PBE.

abc: 3.7318 3.7391 11.4035
angles: 91.89 98.49 90.81
Last column: nearest neighbours and their distance in Å.
Positions (direct):
Tl (0.0000, 0.0000, 0.0000)  5 F 2.49-2.76
Tl (0.3689, 0.4706, 0.7154)  5 F 2.50-2.76
Se (0.0425, 0.5211, 0.3219)  1 Se 2.39
Se (0.6467, 0.9555, 0.3884)  1 Se 2.39
F (0.4727, 0.4934, 0.9368)  5 Tl 2.50-2.76
F (0.9001, 0.9761, 0.7790)  5 Tl 2.49-2.76

Summary:
Calculated density in g/cm3: 6.4
Distance to the lowest polymorph of the same formula in kJ/mol of atoms: 0.1
Electronic total energy in Ry per atom: -0.271



A relaxed structure of TmTe, computed with PBE.

abc: 3.7440 3.7440 3.7440
angles: 90.00 90.00 90.00
Last column: nearest neighbours and their distance in Å.
Positions (direct):
Tm (0.0000, 0.0000, 0.0000)  8 Te 3.24
Te (0.5000, 0.5000, 0.5000)  8 Tm 3.24

Summary:
Calculated density in g/cm3: 9.4
Electronic total energy in Ry per atom: -0.358
DOS at the Fermi energy in states/eV per atom: 0.743



Q: The lowest electronic total energy belongs to which entry?
A: SrTaS2



Q: What is the electronic total energy in the first record?
A: -0.460 Ry per atom



Q: What is the formula in the second record?
A: Er3Si6Pd2Pt